(1)
Nd3Sm2TmS6 after structural relaxation. Source: Alexandria, functional GGA-PBE.

It has space group C2/m (No. 12), with a = 6.924 Å, b = 12.030 Å, c = 6.974 Å, α = 90.00°, β = 109.38° and γ = 90.00°. The inequivalent atoms are Nd at (0.000, 0.000, 0.000), Nd at (0.000, 0.329, 0.000), Sm at (0.000, 0.167, 0.500), Tm at (0.000, 0.500, 0.500), S at (0.241, 0.338, 0.738) and S at (0.243, 0.500, 0.259).

The formation energy without anion corrections comes out at -46.43 kcal/mol of atoms.

---

(2)
LaTl2 after structural relaxation. Source: Alexandria, functional GGA-PBE.

It has space group Fd-3m (No. 227, origin choice 2), with a = 8.945 Å, b = 8.945 Å, c = 8.945 Å, α = 90.00°, β = 90.00° and γ = 90.00°. The inequivalent atoms are La at (0.125, 0.125, 0.125) and Tl at (0.000, 0.000, 0.500).

The value obtained for the electronic total energy is -3.453 eV per atom.

---

(3)
Li3CuPd2 after structural relaxation. Source: Alexandria, functional GGA-PBE.

It has space group Cmmm (No. 65), with a = 3.818 Å, b = 11.635 Å, c = 3.681 Å, α = 90.00°, β = 90.00° and γ = 90.00°. The inequivalent atoms are Li at (0.000, 0.000, 0.000), Li at (0.000, 0.330, 0.000), Cu at (0.000, 0.500, 0.500) and Pd at (0.000, 0.158, 0.500).

As for the distance to the lowest polymorph of the same formula: 0.000 eV per formula unit.

---

(4)
InCoTeN2 after structural relaxation. Source: Alexandria, functional GGA-PBE.

It has space group P4/mmm (No. 123), with a = 4.145 Å, b = 4.145 Å, c = 6.355 Å, α = 90.00°, β = 90.00° and γ = 90.00°. The inequivalent atoms are In at (0.000, 0.000, 0.000), Co at (0.500, 0.500, 0.500), Te at (0.000, 0.000, 0.500) and N at (0.000, 0.500, 0.000).

As for the distance to the lowest polymorph of the same formula: 3.170 eV per formula unit. The formation energy without anion corrections comes out at 39.69 kcal/mol of atoms.

---

(5)
LiMg2Cd5 after structural relaxation. Source: Alexandria, functional GGA-PBE.

It has space group P4/mmm (No. 123), with a = 6.479 Å, b = 6.479 Å, c = 4.703 Å, α = 90.00°, β = 90.00° and γ = 90.00°. The inequivalent atoms are Li at (0.000, 0.000, 0.000), Mg at (0.000, 0.500, 0.500), Cd at (0.000, 0.000, 0.500) and Cd at (0.278, 0.278, 0.000).

As for the distance to the lowest polymorph of the same formula: 2.113 eV per formula unit.

---

(6)
HgSbSe2 after structural relaxation. Source: Alexandria, functional GGA-PBE.

It has space group C2/m (No. 12), with a = 5.768 Å, b = 11.670 Å, c = 2.978 Å, α = 90.00°, β = 95.94° and γ = 90.00°. The inequivalent atoms are Hg at (0.000, 0.000, 0.000), Sb at (0.000, 0.500, 0.000) and Se at (0.250, 0.250, 0.500).

As for the distance to the lowest polymorph of the same formula: 1.723 eV per formula unit. The formation energy without anion corrections comes out at 6.46 kcal/mol of atoms.